(1)
{
  "formula": "BeTlCu2",
  "functional": "PBE",
  "state": "relaxed",
  "cell": [[-3.723, -3.372, -0.048], [-0.941, -2.154, -4.439], [3.508, 0.734, 3.520]],
  "species": ["Be", "Tl", "Cu", "Cu"],
  "frac_coords": [[0.250, 0.750, 0.500], [0.750, 0.250, 0.500], [0.034, 0.034, 0.000], [0.466, 0.466, 0.000]],
  "relative_energy_ev_per_atom": 0.123,
  "formation_energy_ev_per_atom": 0.371
}


(2)
{
  "formula": "Sm4Tm5Sc",
  "functional": "PBE",
  "state": "relaxed",
  "cell": [[-1.309, 3.165, -0.965], [-6.332, -4.275, -5.437], [-6.446, -2.566, 6.889]],
  "species": ["Sm", "Sm", "Sm", "Sm", "Tm", "Tm", "Tm", "Tm", "Tm", "Sc"],
  "frac_coords": [[0.322, 0.006, 0.644], [0.934, 0.774, 0.868], [0.678, 0.994, 0.356], [0.066, 0.226, 0.132], [0.781, 0.643, 0.563], [0.886, 0.289, 0.771], [0.114, 0.711, 0.229], [0.500, 0.500, 0.000], [0.219, 0.357, 0.437], [0.500, 0.000, 0.000]],
  "relative_energy_ev_per_atom": 0.000,
  "formation_energy_ev_per_atom": 0.178
}


(3)
{
  "formula": "TbCdSn4",
  "functional": "PBE",
  "state": "relaxed",
  "cell": [[-0.786, -5.976, -1.296], [3.835, -4.201, 2.379], [-1.991, -3.867, 4.371]],
  "species": ["Tb", "Sn", "Sn", "Sn", "Sn", "Cd"],
  "frac_coords": [[0.000, 0.000, 0.000], [0.625, 0.625, 0.125], [0.625, 0.125, 0.625], [0.625, 0.625, 0.625], [0.125, 0.625, 0.625], [0.250, 0.250, 0.250]],
  "formation_energy_ev_per_atom": -0.121
}